(1)
A plane-wave DFT calculation with GGA-PBE was carried out for a relaxed structure of SmHo7Er4.

a = 7.109 Å, b = 6.156 Å, c = 11.279 Å
α = 79.53°, β = 50.90°, γ = 90.00°
Fractional positions:
Sm  0.000  0.000  0.000
Ho  0.749  0.500  0.000
Ho  0.251  0.500  0.000
Ho  0.084  0.279  0.665
Ho  0.916  0.721  0.335
Ho  0.334  0.778  0.665
Ho  0.500  0.000  0.000
Ho  0.666  0.222  0.335
Er  0.414  0.722  0.335
Er  0.586  0.278  0.665
Er  0.834  0.779  0.665
Er  0.166  0.221  0.335

Values from the calculation:
Theoretical density = 8.80 Mg/m³
Space group = P-1
Total magnetization = 0.00 μB per formula unit
Energy above the lowest structure with this stoichiometry = 0 kJ/mol of formula units
Energy of formation = 0.00 eV/atom
Uncorrected energy = -4.5868 eV per atom



(2)
A plane-wave DFT calculation with GGA-PBE was carried out for a relaxed structure of SmHo2Er6.

a = 3.447 Å, b = 5.573 Å, c = 17.050 Å
α = 119.36°, β = 101.69°, γ = 90.00°
Fractional positions:
Sm  0.500  0.500  0.500
Ho  0.835  0.501  0.834
Ho  0.165  0.499  0.166
Er  0.446  0.168  0.945
Er  0.554  0.832  0.055
Er  0.774  0.163  0.276
Er  0.113  0.169  0.613
Er  0.226  0.837  0.724
Er  0.887  0.831  0.387

Values from the calculation:
Theoretical density = 8.87 Mg/m³
Space group = Cmmm
Total magnetization = 0.00 μB per formula unit
Energy above the lowest structure with this stoichiometry = 45 kJ/mol of formula units
Energy of formation = 0.07 eV/atom
Uncorrected energy = -4.5091 eV per atom



(3)
A plane-wave DFT calculation with GGA-PBE was carried out for a relaxed structure of SmHo3Er5.

a = 9.230 Å, b = 9.230 Å, c = 12.732 Å
α = 51.42°, β = 51.42°, γ = 50.74°
Fractional positions:
Sm  0.893  0.893  0.871
Sm  0.107  0.107  0.129
Ho  0.694  0.694  0.685
Ho  0.833  0.833  0.340
Ho  0.000  0.000  0.000
Ho  0.000  0.000  0.500
Ho  0.306  0.306  0.315
Ho  0.167  0.167  0.660
Er  0.922  0.510  0.220
Er  0.321  0.679  0.000
Er  0.629  0.629  0.072
Er  0.443  0.443  0.435
Er  0.557  0.557  0.565
Er  0.371  0.371  0.928
Er  0.510  0.922  0.220
Er  0.679  0.321  0.000
Er  0.078  0.490  0.780
Er  0.490  0.078  0.780

Values from the calculation:
Theoretical density = 8.09 Mg/m³
Space group = C2/m
Total magnetization = 0.00 μB per formula unit
Energy above the lowest structure with this stoichiometry = 317 kJ/mol of formula units
Energy of formation = 0.43 eV/atom
Uncorrected energy = -4.1580 eV per atom



(4)
A plane-wave DFT calculation with GGA-PBE was carried out for a relaxed structure of Sm7HoEr3.

a = 5.843 Å, b = 8.487 Å, c = 8.487 Å
α = 83.05°, β = 110.18°, γ = 110.18°
Fractional positions:
Sm  0.210  0.209  0.209
Sm  0.307  0.017  0.597
Sm  0.693  0.403  0.983
Sm  0.307  0.597  0.017
Sm  0.000  0.500  0.500
Sm  0.693  0.983  0.403
Sm  0.790  0.791  0.791
Ho  0.500  0.500  0.500
Er  0.000  0.796  0.204
Er  0.500  0.000  0.000
Er  0.000  0.204  0.796

Values from the calculation:
Theoretical density = 7.70 Mg/m³
Space group = C2/m
Total magnetization = 0.08 μB per formula unit
Energy above the lowest structure with this stoichiometry = 125 kJ/mol of formula units
Energy of formation = 0.24 eV/atom
Uncorrected energy = -4.4207 eV per atom



(5)
A plane-wave DFT calculation with GGA-PBE was carried out for a relaxed structure of Sm2HoEr.

a = 3.573 Å, b = 3.573 Å, c = 10.086 Å
α = 90.00°, β = 90.00°, γ = 90.00°
Fractional positions:
Ho  0.500  0.500  0.000
Sm  0.000  0.000  0.749
Sm  0.000  0.000  0.251
Er  0.500  0.500  0.500

Values from the calculation:
Theoretical density = 8.16 Mg/m³
Space group = P4/mmm
Total magnetization = 0.00 μB per formula unit
Energy above the lowest structure with this stoichiometry = 4 kJ/mol of formula units
Energy of formation = 0.02 eV/atom
Uncorrected energy = -4.6246 eV per atom



(6)
A plane-wave DFT calculation with GGA-PBE was carried out for a relaxed structure of Sm4Ho2Er5.

a = 5.626 Å, b = 6.556 Å, c = 9.937 Å
α = 91.17°, β = 106.44°, γ = 90.00°
Fractional positions:
Sm  0.305  0.926  0.611
Sm  0.978  0.715  0.957
Sm  0.695  0.074  0.389
Sm  0.022  0.285  0.043
Ho  0.402  0.446  0.803
Ho  0.598  0.554  0.197
Er  0.791  0.599  0.583
Er  0.209  0.401  0.417
Er  0.870  0.110  0.740
Er  0.500  0.000  0.000
Er  0.130  0.890  0.260

Values from the calculation:
Theoretical density = 8.35 Mg/m³
Space group = C2/m
Total magnetization = 0.00 μB per formula unit
Energy of formation = 0.11 eV/atom
Uncorrected energy = -4.5127 eV per atom